Entry 1:
DFT (PBE) results for Li2HfO3 after structural relaxation.

Properties
The calculation puts the size of the total moment at 0.0 μB/cell. Its total energy is -0.2779 Ha/atom.

a b c (Å): 5.337 9.200 5.203
angles (deg): 90.00 110.25 90.00
Space group C2/m (No. 12)
Inequivalent atoms, fractional coordinates:
Li: 0.000 0.000 0.000 x2
Li: 0.000 0.155 0.500 x4
Li: 0.000 0.500 0.500 x2
Hf: 0.000 0.332 0.000 x4
O: 0.229 0.500 0.240 x4
O: 0.246 0.325 0.765 x8

=====

Entry 2:
DFT (PBE) results for Li2HfO4 after structural relaxation.

Properties
The calculation puts the size of the total moment at 16.0 μB/cell. Its total energy is -0.2465 Ha/atom.

a b c (Å): 8.543 8.543 8.543
angles (deg): 90.00 90.00 90.00
Space group Fd-3m (No. 227, origin choice 2)
Inequivalent atoms, fractional coordinates:
Li: 0.000 0.000 0.000 x16
Hf: 0.125 0.125 0.625 x8
O: 0.007 0.007 0.243 x32

=====

Entry 3:
DFT (PBE) results for LiHfO3 after structural relaxation.

Properties
The calculation puts the size of the total moment at 4.0 μB/cell. Its total energy is -0.2880 Ha/atom.

a b c (Å): 5.545 7.337 5.323
angles (deg): 90.00 90.00 90.00
Space group Pnma (No. 62)
Inequivalent atoms, fractional coordinates:
Li: 0.042 0.250 0.005 x4
Hf: 0.000 0.000 0.500 x4
O: 0.076 0.750 0.648 x4
O: 0.185 0.585 0.178 x8

=====

Entry 4:
DFT (PBE) results for LiHf3O6 after structural relaxation.

Properties
The calculation puts the size of the total moment at 0.0 μB/cell. Its total energy is -0.3333 Ha/atom.

a b c (Å): 3.1616 3.1616 14.6410
angles (deg): 90.00 90.00 120.00
Space group P-3m1 (No. 164)
Inequivalent atoms, fractional coordinates:
Li: 0.0000 0.0000 0.0000 x1
Hf: 0.0000 0.0000 0.1849 x2
Hf: 0.0000 0.0000 0.5000 x1
O: 0.3333 0.6667 0.2528 x2
O: 0.3333 0.6667 0.5681 x2
O: 0.3333 0.6667 0.9018 x2

=====

Entry 5:
DFT (PBE) results for LiHfO4 after structural relaxation.

Properties
The calculation puts the polymorph energy (0 for the lowest one) at 0 meV/atom. The calculation puts the size of the total moment at 8.0 μB/cell.

a b c (Å): 5.709 10.342 10.343
angles (deg): 113.15 103.08 93.37
Space group P1 (No. 1)
Inequivalent atoms, fractional coordinates:
Li: 0.000 0.000 0.000 x1
Li: 0.012 0.274 0.375 x1
Li: 0.156 0.006 0.353 x1
Li: 0.262 0.753 0.935 x1
Li: 0.329 0.205 0.686 x1
Li: 0.426 0.500 0.955 x1
Li: 0.450 0.758 0.284 x1
Li: 0.724 0.431 0.186 x1
Hf: 0.478 0.945 0.802 x1
Hf: 0.540 0.106 0.191 x1
Hf: 0.578 0.368 0.485 x1
Hf: 0.665 0.669 0.801 x1
Hf: 0.763 0.089 0.511 x1
Hf: 0.854 0.383 0.815 x1
Hf: 0.903 0.664 0.117 x1
Hf: 0.968 0.802 0.463 x1
O: 0.096 0.928 0.695 x1
O: 0.099 0.869 0.105 x1
O: 0.101 0.251 0.095 x1
O: 0.103 0.037 0.547 x1
O: 0.131 0.804 0.315 x1
O: 0.136 0.476 0.260 x1
O: 0.178 0.181 0.195 x1
O: 0.191 0.341 0.818 x1
O: 0.248 0.575 0.112 x1
O: 0.259 0.440 0.464 x1
O: 0.278 0.287 0.052 x1
O: 0.316 0.506 0.214 x1
O: 0.337 0.733 0.757 x1
O: 0.341 0.902 0.179 x1
O: 0.343 0.804 0.578 x1
O: 0.343 0.978 0.976 x1
O: 0.449 0.155 0.409 x1
O: 0.479 0.166 0.864 x1
O: 0.558 0.447 0.703 x1
O: 0.599 0.703 0.995 x1
O: 0.658 0.888 0.464 x1
O: 0.678 0.173 0.710 x1
O: 0.681 0.320 0.299 x1
O: 0.703 0.098 0.027 x1
O: 0.736 0.597 0.571 x1
O: 0.744 0.644 0.267 x1
O: 0.761 0.448 0.004 x1
O: 0.790 0.862 0.823 x1
O: 0.825 0.061 0.307 x1
O: 0.896 0.314 0.586 x1
O: 0.927 0.619 0.523 x1
O: 0.979 0.609 0.895 x1

=====

Entry 6:
DFT (PBE) results for Li3HfO4 after structural relaxation.

Properties
The calculation puts the size of the total moment at 4.0 μB/cell. Its total energy is -0.2482 Ha/atom.

a b c (Å): 5.120 12.047 5.241
angles (deg): 90.00 108.64 90.00
Space group P2 (No. 3)
Inequivalent atoms, fractional coordinates:
Li: 0.000 0.000 0.000 x1
Li: 0.000 0.108 0.500 x1
Li: 0.000 0.640 0.500 x1
Li: 0.000 0.880 0.500 x1
Li: 0.500 0.115 0.000 x1
Li: 0.500 0.225 0.500 x1
Li: 0.500 0.373 0.000 x1
Li: 0.500 0.525 0.500 x1
Li: 0.500 0.637 0.000 x1
Li: 0.500 0.762 0.500 x1
Li: 0.500 0.885 0.000 x1
Li: 0.500 0.997 0.500 x1
Hf: 0.000 0.228 0.000 x1
Hf: 0.000 0.373 0.500 x1
Hf: 0.000 0.511 0.000 x1
Hf: 0.000 0.769 0.000 x1
O: 0.228 0.376 0.237 x2
O: 0.236 0.497 0.746 x2
O: 0.237 0.253 0.749 x2
O: 0.237 0.632 0.230 x2
O: 0.246 0.761 0.756 x2
O: 0.246 0.994 0.753 x2
O: 0.248 0.880 0.251 x2
O: 0.251 0.122 0.242 x2

=====

Entry 7:
DFT (PBE) results for LiHfO4 after structural relaxation.

Properties
The calculation puts the polymorph energy (0 for the lowest one) at 319 meV/atom. The calculation puts the size of the total moment at 6.0 μB/cell.

a b c (Å): 6.485 6.618 3.196
angles (deg): 90.00 90.15 90.00
Space group Cm (No. 8)
Inequivalent atoms, fractional coordinates:
Li: 0.000 0.000 0.000 x2
Hf: 0.000 0.500 0.546 x2
O: 0.000 0.193 0.494 x4
O: 0.204 0.500 0.048 x2
O: 0.296 0.000 0.046 x2

=====

Entry 8:
DFT (PBE) results for LiHfO3 after structural relaxation.

Properties
The calculation puts the size of the total moment at 3.4 μB/cell. Its total energy is -0.2873 Ha/atom.

a b c (Å): 5.535 6.758 5.001
angles (deg): 90.00 90.00 90.00
Space group Pnma (No. 62)
Inequivalent atoms, fractional coordinates:
Li: 0.000 0.000 0.000 x4
Hf: 0.110 0.250 0.470 x4
O: 0.064 0.750 0.173 x4
O: 0.175 0.571 0.676 x8

=====

Entry 9:
DFT (PBE) results for Li8Hf4O11 after structural relaxation.

Properties
The calculation puts the polymorph energy (0 for the lowest one) at 3 meV/atom. The calculation puts the size of the total moment at 0.0 μB/cell.

a b c (Å): 5.198 5.312 9.162
angles (deg): 85.09 74.75 79.92
Space group P1 (No. 1)
Inequivalent atoms, fractional coordinates:
Li: 0.000 0.000 0.000 x1
Li: 0.062 0.266 0.424 x1
Li: 0.155 0.535 0.846 x1
Li: 0.333 0.017 0.672 x1
Li: 0.499 0.495 0.508 x1
Li: 0.577 0.763 0.923 x1
Li: 0.657 0.017 0.349 x1
Li: 0.832 0.518 0.168 x1
Hf: 0.245 0.771 0.256 x1
Hf: 0.410 0.266 0.088 x1
Hf: 0.747 0.266 0.757 x1
Hf: 0.919 0.759 0.589 x1
O: 0.061 0.138 0.205 x1
O: 0.102 0.396 0.636 x1
O: 0.204 0.637 0.056 x1
O: 0.283 0.864 0.461 x1
O: 0.385 0.160 0.879 x1
O: 0.564 0.630 0.706 x1
O: 0.599 0.912 0.141 x1
O: 0.711 0.127 0.556 x1
O: 0.774 0.379 0.961 x1
O: 0.892 0.653 0.381 x1
O: 0.957 0.900 0.786 x1

=====

Entry 10:
DFT (PBE) results for Li8Hf4O11 after structural relaxation.

Properties
The calculation puts the polymorph energy (0 for the lowest one) at 0 meV/atom. The calculation puts the size of the total moment at 0.0 μB/cell.

a b c (Å): 5.199 5.312 9.151
angles (deg): 84.21 74.94 80.14
Space group P1 (No. 1)
Inequivalent atoms, fractional coordinates:
Li: 0.000 0.000 0.000 x1
Li: 0.056 0.262 0.430 x1
Li: 0.135 0.537 0.853 x1
Li: 0.305 0.014 0.678 x1
Li: 0.479 0.503 0.506 x1
Li: 0.558 0.763 0.925 x1
Li: 0.626 0.036 0.358 x1
Li: 0.814 0.493 0.184 x1
Hf: 0.215 0.770 0.263 x1
Hf: 0.393 0.265 0.097 x1
Hf: 0.723 0.262 0.765 x1
Hf: 0.890 0.762 0.596 x1
O: 0.033 0.137 0.218 x1
O: 0.074 0.398 0.646 x1
O: 0.172 0.633 0.069 x1
O: 0.247 0.877 0.472 x1
O: 0.362 0.150 0.895 x1
O: 0.435 0.412 0.293 x1
O: 0.536 0.628 0.721 x1
O: 0.676 0.129 0.568 x1
O: 0.755 0.362 0.973 x1
O: 0.852 0.659 0.394 x1
O: 0.934 0.897 0.795 x1

=====

Entry 11:
DFT (PBE) results for Li6Hf2O7 after structural relaxation.

Properties
The calculation puts the size of the total moment at 0.0 μB/cell. Its total energy is -0.2580 Ha/atom.

a b c (Å): 5.254 5.275 5.962
angles (deg): 73.33 89.36 79.09
Space group P-1 (No. 2)
Inequivalent atoms, fractional coordinates:
Li: 0.068 0.253 0.435 x2
Li: 0.361 0.675 0.327 x2
Li: 0.371 0.716 0.830 x2
Hf: 0.146 0.246 0.923 x2
O: 0.003 0.001 0.760 x2
O: 0.229 0.486 0.125 x2
O: 0.263 0.483 0.634 x2
O: 0.500 0.000 0.000 x1

=====

Entry 12:
DFT (PBE) results for LiHfO3 after structural relaxation.

Properties
The calculation puts the size of the total moment at 4.0 μB/cell. Its total energy is -0.2856 Ha/atom.

a b c (Å): 5.574 9.194 5.192
angles (deg): 90.00 113.83 90.00
Space group C2 (No. 5)
Inequivalent atoms, fractional coordinates:
Li: 0.000 0.000 0.000 x2
Li: 0.000 0.365 0.000 x2
Hf: 0.000 0.208 0.500 x2
Hf: 0.000 0.549 0.500 x2
O: 0.197 0.377 0.756 x4
O: 0.209 0.183 0.257 x4
O: 0.233 0.549 0.270 x4